i) Compound: CuAgMo3
Source: Alexandria
Functional: PBE-GGA
Structure: relaxed

For the total magnetization, the calculation gives 0.00 μB per formula unit. The value obtained for the density of states at the Fermi level is 16.2 states/eV/f.u. Its symmetry is Pm-3m, No. 221.

The structure in extended XYZ format:
```
5
Lattice="-1.3921 -4.2227 -1.7623 3.2685 -2.2068 2.7058 -3.2021 -0.4168 3.5281" Properties=species:S:1:pos:R:3 pbc="T T T"
Cu -0.6629 -3.4231 2.2358
Mo 1.6343 -1.1034 1.3529
Mo -1.6011 -0.2084 1.7640
Mo -0.6960 -2.1113 -0.8812
Ag 0.0000 0.0000 0.0000
```



ii) Compound: CuAgMo3
Source: Alexandria
Functional: PBE-GGA
Structure: relaxed

For the total magnetization, the calculation gives 0.00 μB per formula unit. The value obtained for the density of states at the Fermi level is 3.0 states/eV/f.u. Its symmetry is Pm-3m, No. 221.

The structure in extended XYZ format:
```
5
Lattice="4.5194 0.0000 0.0000 0.0000 4.5194 0.0000 0.0000 0.0000 4.5194" Properties=species:S:1:pos:R:3 pbc="T T T"
Mo 0.0000 2.2597 0.0000
Mo 2.2597 0.0000 0.0000
Mo 0.0000 0.0000 2.2597
Ag 2.2597 2.2597 2.2597
Cu 0.0000 0.0000 0.0000
```



Name the least stable of them. i).



i) Compound: CuAg2MoOs
Source: Alexandria
Functional: PBE-GGA
Structure: relaxed

For the total magnetization, the calculation gives 2.50 μB per formula unit. The value obtained for the density of states at the Fermi level is 6.5 states/eV/f.u. Its symmetry is P4/mmm, No. 123.

The structure in extended XYZ format:
```
5
Lattice="-4.3470 -0.3339 2.3451 1.0465 -4.6675 1.2753 1.9495 1.4821 3.8247" Properties=species:S:1:pos:R:3 pbc="T T T"
Mo 0.0000 0.0000 0.0000
Os -0.6755 -1.7597 3.7225
Cu 0.9747 0.7410 1.9123
Ag -2.1735 -0.1670 1.1725
Ag 0.5233 -2.3337 0.6376
```



ii) Compound: CuAg2MoOs
Source: Alexandria
Functional: PBE-GGA
Structure: relaxed

For the total magnetization, the calculation gives 1.26 μB per formula unit. The value obtained for the density of states at the Fermi level is 4.7 states/eV/f.u. Its symmetry is P4/mmm, No. 123.

The structure in extended XYZ format:
```
5
Lattice="5.0980 0.0000 0.0000 0.0000 4.6182 0.0000 0.0000 0.0000 5.0980" Properties=species:S:1:pos:R:3 pbc="T T T"
Os 0.0000 0.0000 0.0000
Ag 0.0000 0.0000 2.5490
Ag 2.5490 0.0000 0.0000
Mo 0.0000 2.3091 0.0000
Cu 2.5490 2.3091 2.5490
```



Name the least stable of them. i).



i) Compound: CuAg3N
Source: Alexandria
Functional: PBE-GGA
Structure: relaxed

For the total magnetization, the calculation gives 0.00 μB per formula unit. The value obtained for the density of states at the Fermi level is 2.3 states/eV/f.u. Its symmetry is Pm-3m, No. 221.

The structure in extended XYZ format:
```
5
Lattice="4.3239 0.0000 0.0000 0.0000 4.3239 0.0000 0.0000 0.0000 4.3239" Properties=species:S:1:pos:R:3 pbc="T T T"
Cu 2.1620 2.1620 2.1620
Ag 2.1620 0.0000 0.0000
Ag 0.0000 2.1620 0.0000
Ag 0.0000 0.0000 2.1620
N 0.0000 0.0000 0.0000
```



ii) Compound: CuAg3N
Source: Alexandria
Functional: PBE-GGA
Structure: relaxed

For the total magnetization, the calculation gives 0.00 μB per formula unit. The value obtained for the density of states at the Fermi level is 5.2 states/eV/f.u. Its symmetry is Pm-3m, No. 221.

The structure in extended XYZ format:
```
5
Lattice="-2.5624 3.8926 -0.7733 -0.0949 -0.9803 -4.6202 -3.9675 -2.4905 0.6099" Properties=species:S:1:pos:R:3 pbc="T T T"
Cu 0.0000 0.0000 0.0000
Ag -1.9838 -1.2453 0.3050
Ag -1.2812 1.9463 -0.3867
Ag -0.0474 -0.4902 -2.3101
N -3.3124 0.2108 -2.3918
```



Name the least stable of them. ii).



i) Compound: CuAgN2
Source: Alexandria
Functional: PBE-GGA
Structure: relaxed

For the total magnetization, the calculation gives 0.00 μB per formula unit. The value obtained for the density of states at the Fermi level is 3.4 states/eV/f.u. Its symmetry is I-42d, No. 122.

The structure in extended XYZ format:
```
8
Lattice="-2.9886 -2.0371 -3.3229 0.6260 -4.3838 2.1245 -4.4862 -2.4638 1.9154" Properties=species:S:1:pos:R:3 pbc="T T T"
N -1.2534 -3.7125 1.2250
N -5.4632 -7.2468 0.2816
N -4.2192 -4.4751 1.0934
N -2.7616 -2.3352 -1.1661
Ag -4.3280 -3.8557 -1.0034
Ag 0.0000 0.0000 0.0000
Cu -2.5207 -5.0291 1.7203
Cu -1.1813 -3.2105 -0.5992
```



ii) Compound: CuAgN2
Source: Alexandria
Functional: PBE-GGA
Structure: relaxed

For the total magnetization, the calculation gives 0.00 μB per formula unit. The value obtained for the density of states at the Fermi level is 0.7 states/eV/f.u. Its symmetry is R-3m, No. 166.

The structure in extended XYZ format:
```
4
Lattice="2.2536 1.8127 5.6598 4.7010 1.5615 3.9825 3.0507 4.0363 3.8470" Properties=species:S:1:pos:R:3 pbc="T T T"
Ag 0.0000 0.0000 0.0000
N 8.8600 6.5621 11.9450
N 1.1454 0.8483 1.5442
Cu 5.0027 3.7052 6.7446
```



Name the least stable of them. i).



i) Compound: CuAgN2
Source: Alexandria
Functional: PBE-GGA
Structure: relaxed

For the total magnetization, the calculation gives 0.00 μB per formula unit. The value obtained for the density of states at the Fermi level is 0.8 states/eV/f.u. Its symmetry is R-3m, No. 166.

The structure in extended XYZ format:
```
4
Lattice="1.6365 5.8174 0.3070 4.3879 4.1664 -0.0408 2.5592 4.8169 -2.6196" Properties=species:S:1:pos:R:3 pbc="T T T"
Cu 0.0000 0.0000 0.0000
N 7.6833 13.2483 -2.1066
N 0.9003 1.5524 -0.2468
Ag 4.2918 7.4004 -1.1767
```



ii) Compound: CuAgN2
Source: Alexandria
Functional: PBE-GGA
Structure: relaxed

For the total magnetization, the calculation gives 0.00 μB per formula unit. The value obtained for the density of states at the Fermi level is 2.4 states/eV/f.u. Its symmetry is Fm-3m, No. 225.

The structure in extended XYZ format:
```
4
Lattice="0.0000 2.7503 2.7503 2.7503 0.0000 2.7503 2.7503 2.7503 0.0000" Properties=species:S:1:pos:R:3 pbc="T T T"
N 4.1255 4.1255 4.1255
N 1.3752 1.3752 1.3752
Cu 0.0000 0.0000 0.0000
Ag 2.7503 2.7503 2.7503
```



Name the least stable of them. ii).



i) Compound: CuAgSN2
Source: Alexandria
Functional: PBE-GGA
Structure: relaxed

For the total magnetization, the calculation gives 3.96 μB per formula unit. The value obtained for the density of states at the Fermi level is 2.9 states/eV/f.u. Its symmetry is P4/mmm, No. 123.

The structure in extended XYZ format:
```
5
Lattice="-3.7860 0.1396 1.2245 0.7062 -2.9961 2.5252 1.3995 3.6282 3.9133" Properties=species:S:1:pos:R:3 pbc="T T T"
N -1.8930 0.0698 0.6122
N 0.3531 -1.4981 1.2626
Cu -0.8401 0.3859 3.8315
Ag 0.0000 0.0000 0.0000
S 0.6997 1.8141 1.9567
```



ii) Compound: CuAgSN2
Source: Alexandria
Functional: PBE-GGA
Structure: relaxed

For the total magnetization, the calculation gives 3.67 μB per formula unit. The value obtained for the density of states at the Fermi level is 2.0 states/eV/f.u. Its symmetry is P4/mmm, No. 123.

The structure in extended XYZ format:
```
5
Lattice="3.7053 0.0000 0.0000 0.0000 3.7053 0.0000 0.0000 0.0000 5.6677" Properties=species:S:1:pos:R:3 pbc="T T T"
Cu 0.0000 0.0000 0.0000
N 1.8526 0.0000 0.0000
N 0.0000 1.8526 0.0000
Ag 1.8526 1.8526 2.8338
S 0.0000 0.0000 2.8338
```



Name the least stable of them. i).



i) Compound: CuAgS2N
Source: Alexandria
Functional: PBE-GGA
Structure: relaxed

For the total magnetization, the calculation gives 0.00 μB per formula unit. The value obtained for the density of states at the Fermi level is 8.8 states/eV/f.u. Its symmetry is P4/mmm, No. 123.

The structure in extended XYZ format:
```
5
Lattice="4.9434 0.0000 0.0000 0.0000 4.9434 0.0000 0.0000 0.0000 3.8470" Properties=species:S:1:pos:R:3 pbc="T T T"
Cu 2.4717 2.4717 1.9235
Ag 0.0000 0.0000 0.0000
S 0.0000 2.4717 0.0000
S 2.4717 0.0000 0.0000
N 0.0000 0.0000 1.9235
```



ii) Compound: CuAgS2N
Source: Alexandria
Functional: PBE-GGA
Structure: relaxed

For the total magnetization, the calculation gives 1.80 μB per formula unit. The value obtained for the density of states at the Fermi level is 4.6 states/eV/f.u. Its symmetry is P4/mmm, No. 123.

The structure in extended XYZ format:
```
5
Lattice="4.7643 0.0000 0.0000 0.0000 4.7643 0.0000 0.0000 0.0000 3.6254" Properties=species:S:1:pos:R:3 pbc="T T T"
Ag 2.3822 2.3822 1.8127
S 0.0000 2.3822 0.0000
S 2.3822 0.0000 0.0000
Cu 0.0000 0.0000 0.0000
N 0.0000 0.0000 1.8127
```



Name the least stable of them. i).